Below is an optimized crystal structure of BaAlCo4O7, with properties calculated at the PBE with a Hubbard U level.

CIF file:
```
data_BaAlCo4O7
_chemical_formula_sum 'Ba2 Al2 Co8 O14'
_cell_length_a 6.0607
_cell_length_b 6.0607
_cell_length_c 9.9564
_cell_angle_alpha 90.00
_cell_angle_beta 90.00
_cell_angle_gamma 120.00
_symmetry_space_group_name_H-M 'P 1'
_symmetry_Int_Tables_number 1
loop_
_symmetry_equiv_pos_as_xyz
'x,y,z'
loop_
_atom_site_label
_atom_site_fract_x
_atom_site_fract_y
_atom_site_fract_z
Ba1 0.3333 0.6667 0.0000
Ba2 0.6667 0.3333 0.5000
Al1 0.3333 0.6667 0.3775
Al2 0.6667 0.3333 0.8775
Co1 0.0000 0.0000 0.4397
Co2 0.0000 0.0000 0.9397
Co3 0.1783 0.3565 0.6847
Co4 0.1783 0.8217 0.6847
Co5 0.3565 0.1783 0.1847
Co6 0.6435 0.8217 0.6847
Co7 0.8217 0.1783 0.1847
Co8 0.8217 0.6435 0.1847
O1 0.0000 0.0000 0.2424
O2 0.0000 0.0000 0.7424
O3 0.0261 0.5130 0.2645
O4 0.1813 0.3626 0.4921
O5 0.1813 0.8187 0.4921
O6 0.3626 0.1813 0.9921
O7 0.4870 0.5130 0.2645
O8 0.4870 0.9739 0.2645
O9 0.5130 0.0261 0.7645
O10 0.5130 0.4870 0.7645
O11 0.6374 0.8187 0.4921
O12 0.8187 0.1813 0.9921
O13 0.8187 0.6374 0.9921
O14 0.9739 0.4870 0.7645
```

Results
Raw total energy   -6.2785 eV/atom
N(E_F)   4.7 states/eV per cell
SG   P6_3mc